Entry 1:
VASP calculation (PBE) on a geometry-optimized HfTeAu2Se structure.

Lattice parameters (Å, degrees): 5.3534 4.9576 5.3534 90.00 90.00 90.00
Last column: nearest neighbours and their distance in Å.
Sites, in units of the cell vectors:
Se: 0.0000 0.5000 0.0000  2 Hf 2.48
Au: 0.0000 0.0000 0.5000  2 Hf 2.68
Au: 0.5000 0.0000 0.0000  2 Hf 2.68
Hf: 0.0000 0.0000 0.0000  2 Se 2.48, 4 Au 2.68
Te: 0.5000 0.5000 0.5000  8 Au 3.65, 4 Se 3.79

Output
E: -21.5 eV for the cell shown

Entry 2:
VASP calculation (PBE) on a geometry-optimized Hf2TiAuSe structure.

Lattice parameters (Å, degrees): 5.1229 5.1406 5.1229 90.00 90.00 90.00
Last column: nearest neighbours and their distance in Å.
Sites, in units of the cell vectors:
Hf: 0.0000 0.0000 0.5000  2 Au 2.56
Hf: 0.5000 0.0000 0.0000  2 Au 2.56
Se: 0.0000 0.5000 0.0000  2 Au 2.57
Ti: 0.5000 0.5000 0.5000  4 Se 3.62, 8 Hf 3.63
Au: 0.0000 0.0000 0.0000  4 Hf 2.56, 2 Se 2.57

Output
E: -29.6 eV for the cell shown

Entry 3:
VASP calculation (PBE) on a geometry-optimized HfZr2AuSe structure.

Lattice parameters (Å, degrees): 5.2630 4.9850 5.2630 90.00 90.00 90.00
Last column: nearest neighbours and their distance in Å.
Sites, in units of the cell vectors:
Zr: 0.0000 0.0000 0.5000  2 Hf 2.63
Zr: 0.5000 0.0000 0.0000  2 Hf 2.63
Se: 0.5000 0.5000 0.5000  8 Zr 3.62, 4 Au 3.72
Hf: 0.0000 0.0000 0.0000  2 Au 2.49, 4 Zr 2.63
Au: 0.0000 0.5000 0.0000  2 Hf 2.49

Output
E: -29.3 eV for the cell shown

Entry 4:
VASP calculation (PBE) on a geometry-optimized HfSiAu3 structure.

Lattice parameters (Å, degrees): 4.6946 4.6946 4.6946 90.00 90.00 90.00
Last column: nearest neighbours and their distance in Å.
Sites, in units of the cell vectors:
Hf: 0.5000 0.5000 0.5000  12 Au 3.32
Au: 0.0000 0.5000 0.0000  2 Si 2.35
Au: 0.0000 0.0000 0.5000  2 Si 2.35
Au: 0.5000 0.0000 0.0000  2 Si 2.35
Si: 0.0000 0.0000 0.0000  6 Au 2.35

Output
E: -23.7 eV for the cell shown
Offset from the most stable computed form: 0.0 kJ per mole of atoms

Entry 5:
VASP calculation (PBE) on a geometry-optimized HfSiAu structure.

Lattice parameters (Å, degrees): 3.0279 5.3838 7.3818 118.17 90.00 90.00
Last column: nearest neighbours and their distance in Å.
Sites, in units of the cell vectors:
Hf: 0.3613 0.3298 0.9659  4 Si 2.74-2.79, 4 Au 2.93-3.06, 2 Hf 3.03
Hf: 0.3613 0.6828 0.5286  4 Si 2.74-2.79, 4 Au 2.93-3.06, 2 Hf 3.03
Au: 0.8613 0.2132 0.5938  2 Si 2.56-2.63
Au: 0.8613 0.7995 0.9007  2 Si 2.56-2.63
Si: 0.8613 0.2463 0.2492  2 Au 2.56-2.63, 2 Si 2.57-2.81, 4 Hf 2.74-2.79
Si: 0.8613 0.7663 0.2453  2 Au 2.56-2.63, 2 Si 2.57-2.81, 4 Hf 2.74-2.79

Output
E: -40.1 eV for the cell shown

Entry 6:
VASP calculation (PBE) on a geometry-optimized HfSiAu structure.

Lattice parameters (Å, degrees): 7.0157 3.2075 9.5404 90.00 92.60 90.00
Last column: nearest neighbours and their distance in Å.
Sites, in units of the cell vectors:
Au: 0.9154 0.5000 0.8581  1 Si 2.54
Au: 0.9154 0.0000 0.3581  1 Si 2.54
Au: 0.0846 0.5000 0.1419  1 Si 2.54
Au: 0.0846 0.0000 0.6419  1 Si 2.54
Hf: 0.2646 0.5000 0.4259  5 Si 2.71-2.97, 5 Au 2.94-2.97
Hf: 0.7354 0.5000 0.5741  5 Si 2.71-2.97, 5 Au 2.94-2.97
Hf: 0.2646 0.0000 0.9259  5 Si 2.71-2.97, 5 Au 2.94-2.97
Hf: 0.7354 0.0000 0.0741  5 Si 2.71-2.97, 5 Au 2.94-2.97
Si: 0.4473 0.5000 0.1508  1 Au 2.54, 2 Si 2.56, 2 Hf 2.71
Si: 0.5527 0.0000 0.3492  1 Au 2.54, 2 Si 2.56, 2 Hf 2.71
Si: 0.4473 0.0000 0.6508  1 Au 2.54, 2 Si 2.56, 2 Hf 2.71
Si: 0.5527 0.5000 0.8492  1 Au 2.54, 2 Si 2.56, 2 Hf 2.71

Output
E: -80.2 eV for the cell shown